Here is a relaxed structure of EuHoCu4 from the Alexandria database. Energies are from PBE-GGA.

The space group is F-43m (No. 216) and the conventional cell measures 7.4980, 7.4980 and 7.4980 Å, with angles of 90.00, 90.00 and 90.00 degrees. The inequivalent atoms are Eu at (0.0000, 0.0000, 0.0000), Ho at (0.2500, 0.2500, 0.2500) and Cu at (0.1243, 0.1243, 0.6243).

As for the calculated formation energy: -0.098 eV per atom. Its calculated total energy is -5.30 eV per atom. The calculation puts the density of states at the Fermi level at 6.151 states/eV/f.u.

---

Here is a relaxed structure of EuHoCuIr from the Alexandria database. Energies are from PBE-GGA.

The space group is F-43m (No. 216) and the conventional cell measures 6.9606, 6.9606 and 6.9606 Å, with angles of 90.00, 90.00 and 90.00 degrees. The inequivalent atoms are Eu at (0.0000, 0.0000, 0.0000), Ho at (0.0000, 0.0000, 0.5000), Cu at (0.2500, 0.2500, 0.2500) and Ir at (0.2500, 0.2500, 0.7500).

As for the calculated formation energy: -0.396 eV per atom. Its calculated total energy is -7.35 eV per atom. The calculation puts the density of states at the Fermi level at 4.002 states/eV/f.u.